Crystalline MnIn6Cl12 at its relaxed geometry. Source: Alexandria, functional GGA-PBE.

Lattice parameters (Å, degrees): 10.354 10.354 10.354 115.42 115.42 115.42
Last column: magnetic moment on the atom in μB.
Sites, in units of the cell vectors:
Mn 0.000 0.000 0.000  3.26
In 0.069 0.295 0.295  0.04
In 0.705 0.705 0.931  0.04
In 0.705 0.931 0.705  0.04
In 0.931 0.705 0.705  0.04
In 0.295 0.295 0.069  0.04
In 0.295 0.069 0.295  0.04
Cl 0.637 0.292 0.639  0.01
Cl 0.292 0.639 0.637  0.01
Cl 0.639 0.637 0.292  0.01
Cl 0.363 0.708 0.361  0.01
Cl 0.708 0.361 0.363  0.01
Cl 0.361 0.363 0.708  0.01
Cl 0.216 0.999 0.785  0.09
Cl 0.215 0.784 0.001  0.09
Cl 0.001 0.215 0.784  0.09
Cl 0.784 0.001 0.215  0.09
Cl 0.785 0.216 0.999  0.09
Cl 0.999 0.785 0.216  0.09

## Properties
SG = R-3
formation energy from raw total energies = -0.733 eV per atom
volume = 596.8 Å³ per cell